Material: CdIr2Rh
Method: DFT, PBE
State: optimized geometry

The value obtained for the calculated total energy is -24.90 eV/cell. The value obtained for the formation energy is 1.09 eV/f.u.

Cell and atoms, written as CIF:
```
data_CdIr2Rh
_chemical_formula_sum 'Cd1 Ir2 Rh1'
_cell_length_a 2.769
_cell_length_b 4.776
_cell_length_c 4.800
_cell_angle_alpha 90.00
_cell_angle_beta 91.32
_cell_angle_gamma 90.00
_space_group_name_H-M_alt 'P 1'
_space_group_IT_number 1
loop_
_space_group_symop_operation_xyz
'x,y,z'
loop_
_atom_site_label
_atom_site_fract_x
_atom_site_fract_y
_atom_site_fract_z
Cd1 0.000 0.000 0.000
Ir1 0.262 0.500 0.735
Ir2 0.738 0.500 0.265
Rh1 0.500 0.000 0.500
```

Material: CdIr2Rh
Method: DFT, PBE
State: optimized geometry

The value obtained for the calculated total energy is -25.37 eV/cell. The value obtained for the formation energy is 0.62 eV/f.u.

Cell and atoms, written as CIF:
```
data_CdIr2Rh
_chemical_formula_sum 'Cd1 Ir2 Rh1'
_cell_length_a 2.803
_cell_length_b 4.494
_cell_length_c 4.957
_cell_angle_alpha 90.00
_cell_angle_beta 90.00
_cell_angle_gamma 90.00
_space_group_name_H-M_alt 'P 1'
_space_group_IT_number 1
loop_
_space_group_symop_operation_xyz
'x,y,z'
loop_
_atom_site_label
_atom_site_fract_x
_atom_site_fract_y
_atom_site_fract_z
Cd1 0.000 0.000 0.000
Ir1 0.000 0.500 0.645
Ir2 0.500 0.000 0.502
Rh1 0.500 0.500 0.175
```

Material: Cd2Ir2Rh
Method: DFT, PBE
State: optimized geometry

The value obtained for the calculated total energy is -50.75 eV/cell. The value obtained for the formation energy is 1.53 eV/f.u.

Cell and atoms, written as CIF:
```
data_Cd2Ir2Rh
_chemical_formula_sum 'Cd4 Ir4 Rh2'
_cell_length_a 6.554
_cell_length_b 6.554
_cell_length_c 4.291
_cell_angle_alpha 90.00
_cell_angle_beta 90.00
_cell_angle_gamma 90.00
_space_group_name_H-M_alt 'P 1'
_space_group_IT_number 1
loop_
_space_group_symop_operation_xyz
'x,y,z'
loop_
_atom_site_label
_atom_site_fract_x
_atom_site_fract_y
_atom_site_fract_z
Cd1 0.176 0.324 0.000
Cd2 0.324 0.824 0.000
Cd3 0.676 0.176 0.000
Cd4 0.824 0.676 0.000
Ir1 0.130 0.630 0.500
Ir2 0.370 0.130 0.500
Ir3 0.630 0.870 0.500
Ir4 0.870 0.370 0.500
Rh1 0.000 0.000 0.500
Rh2 0.500 0.500 0.500
```